A relaxed structure of CsScOs3, computed with PBE.

Values from the calculation:
Space group: Pm-3m, No. 221
Distance to the lowest polymorph of the same formula in meV/atom: 0
Formation energy from the elements in eV per atom: 2.41
Calculated volume in Å³ per atom: 24.75

abc: 4.9836 4.9836 4.9836
angles: 90.00 90.00 90.00
With the nearest neighbours (Å) after each atom.
Element x y z (fractional)
1 Cs 0.0000 0.0000 0.0000  12 Os 3.52
2 Sc 0.5000 0.5000 0.5000  6 Os 2.49
3 Os 0.0000 0.5000 0.5000  2 Sc 2.49
4 Os 0.5000 0.0000 0.5000  2 Sc 2.49
5 Os 0.5000 0.5000 0.0000  2 Sc 2.49

***

A relaxed structure of CsIr2Au, computed with PBE.

Values from the calculation:
Space group: I-42d, No. 122
Distance to the lowest polymorph of the same formula in meV/atom: 0
Formation energy from the elements in eV per atom: 0.83
Calculated volume in Å³ per atom: 27.48

abc: 10.1984 10.1984 10.1984
angles: 152.89 152.89 38.71
With the nearest neighbours (Å) after each atom.
Element x y z (fractional)
1 Cs 0.0000 0.0000 0.0000  4 Au 3.38, 4 Ir 3.39
2 Cs 0.7500 0.2500 0.5000  4 Au 3.38, 4 Ir 3.39
3 Ir 0.3078 0.1250 0.6828  2 Ir 2.47, 2 Au 2.71
4 Ir 0.3750 0.6922 0.8172  2 Ir 2.47, 2 Au 2.71
5 Ir 0.4422 0.6250 0.3172  2 Ir 2.47, 2 Au 2.71
6 Ir 0.8750 0.5578 0.1828  2 Ir 2.47, 2 Au 2.71
7 Au 0.2500 0.7500 0.5000  4 Ir 2.71
8 Au 0.5000 0.5000 0.0000  4 Ir 2.71

***

A relaxed structure of Ag3Hg12Cl5, computed with PBE.

Values from the calculation:
Space group: Ia-3d, No. 230
Calculated volume in Å³ per atom: 31.19
Energy in eV/atom: -1.190

abc: 14.8000 14.8000 14.8000
angles: 109.47 109.47 109.47
With the nearest neighbours (Å) after each atom.
Element x y z (fractional)
1 Ag 0.1250 0.2500 0.3750  4 Hg 2.76
2 Ag 0.1250 0.3750 0.7500  4 Hg 2.76
3 Ag 0.2500 0.3750 0.1250  4 Hg 2.76
4 Ag 0.2500 0.8750 0.6250  4 Hg 2.76
5 Ag 0.3750 0.1250 0.2500  4 Hg 2.76
6 Ag 0.3750 0.7500 0.1250  4 Hg 2.76
7 Ag 0.6250 0.2500 0.8750  4 Hg 2.76
8 Ag 0.6250 0.8750 0.7500  4 Hg 2.76
9 Ag 0.7500 0.1250 0.3750  4 Hg 2.76
10 Ag 0.7500 0.6250 0.8750  4 Hg 2.76
11 Ag 0.8750 0.6250 0.2500  4 Hg 2.76
12 Ag 0.8750 0.7500 0.6250  4 Hg 2.76
13 Hg 0.0586 0.6280 0.3856  1 Ag 2.76, 2 Cl 2.90-3.04
14 Hg 0.0586 0.9306 0.6730  1 Ag 2.76, 2 Cl 2.90-3.04
15 Hg 0.0694 0.2424 0.1280  1 Ag 2.76, 2 Cl 2.90-3.04
16 Hg 0.0694 0.3270 0.9414  1 Ag 2.76, 2 Cl 2.90-3.04
17 Hg 0.1144 0.7424 0.6730  1 Ag 2.76, 2 Cl 2.90-3.04
18 Hg 0.1144 0.8720 0.4414  1 Ag 2.76, 2 Cl 2.90-3.04
19 Hg 0.1280 0.0694 0.2424  1 Ag 2.76, 2 Cl 2.90-3.04
20 Hg 0.1280 0.5586 0.8856  1 Ag 2.76, 2 Cl 2.90-3.04
21 Hg 0.1730 0.2424 0.6144  1 Ag 2.76, 2 Cl 2.90-3.04
22 Hg 0.1730 0.4306 0.5586  1 Ag 2.76, 2 Cl 2.90-3.04
23 Hg 0.2424 0.1280 0.0694  1 Ag 2.76, 2 Cl 2.90-3.04
24 Hg 0.2424 0.6144 0.1730  1 Ag 2.76, 2 Cl 2.90-3.04
25 Hg 0.2576 0.3270 0.8856  1 Ag 2.76, 2 Cl 2.90-3.04
26 Hg 0.2576 0.4306 0.3720  1 Ag 2.76, 2 Cl 2.90-3.04
27 Hg 0.3270 0.8856 0.2576  1 Ag 2.76, 2 Cl 2.90-3.04
28 Hg 0.3270 0.9414 0.0694  1 Ag 2.76, 2 Cl 2.90-3.04
29 Hg 0.3720 0.2576 0.4306  1 Ag 2.76, 2 Cl 2.90-3.04
30 Hg 0.3720 0.6144 0.9414  1 Ag 2.76, 2 Cl 2.90-3.04
31 Hg 0.3856 0.0586 0.6280  1 Ag 2.76, 2 Cl 2.90-3.04
32 Hg 0.3856 0.8270 0.7576  1 Ag 2.76, 2 Cl 2.90-3.04
33 Hg 0.4306 0.3720 0.2576  1 Ag 2.76, 2 Cl 2.90-3.04
34 Hg 0.4306 0.5586 0.1730  1 Ag 2.76, 2 Cl 2.90-3.04
35 Hg 0.4414 0.1144 0.8720  1 Ag 2.76, 2 Cl 2.90-3.04
36 Hg 0.4414 0.8270 0.5694  1 Ag 2.76, 2 Cl 2.90-3.04
37 Hg 0.5586 0.1730 0.4306  1 Ag 2.76, 2 Cl 2.90-3.04
38 Hg 0.5586 0.8856 0.1280  1 Ag 2.76, 2 Cl 2.90-3.04
39 Hg 0.5694 0.4414 0.8270  1 Ag 2.76, 2 Cl 2.90-3.04
40 Hg 0.5694 0.6280 0.7424  1 Ag 2.76, 2 Cl 2.90-3.04
41 Hg 0.6144 0.1730 0.2424  1 Ag 2.76, 2 Cl 2.90-3.04
42 Hg 0.6144 0.9414 0.3720  1 Ag 2.76, 2 Cl 2.90-3.04
43 Hg 0.6280 0.3856 0.0586  1 Ag 2.76, 2 Cl 2.90-3.04
44 Hg 0.6280 0.7424 0.5694  1 Ag 2.76, 2 Cl 2.90-3.04
45 Hg 0.6730 0.0586 0.9306  1 Ag 2.76, 2 Cl 2.90-3.04
46 Hg 0.6730 0.1144 0.7424  1 Ag 2.76, 2 Cl 2.90-3.04
47 Hg 0.7424 0.5694 0.6280  1 Ag 2.76, 2 Cl 2.90-3.04
48 Hg 0.7424 0.6730 0.1144  1 Ag 2.76, 2 Cl 2.90-3.04
49 Hg 0.7576 0.3856 0.8270  1 Ag 2.76, 2 Cl 2.90-3.04
50 Hg 0.7576 0.8720 0.9306  1 Ag 2.76, 2 Cl 2.90-3.04
51 Hg 0.8270 0.5694 0.4414  1 Ag 2.76, 2 Cl 2.90-3.04
52 Hg 0.8270 0.7576 0.3856  1 Ag 2.76, 2 Cl 2.90-3.04
53 Hg 0.8720 0.4414 0.1144  1 Ag 2.76, 2 Cl 2.90-3.04
54 Hg 0.8720 0.9306 0.7576  1 Ag 2.76, 2 Cl 2.90-3.04
55 Hg 0.8856 0.1280 0.5586  1 Ag 2.76, 2 Cl 2.90-3.04
56 Hg 0.8856 0.2576 0.3270  1 Ag 2.76, 2 Cl 2.90-3.04
57 Hg 0.9306 0.6730 0.0586  1 Ag 2.76, 2 Cl 2.90-3.04
58 Hg 0.9306 0.7576 0.8720  1 Ag 2.76, 2 Cl 2.90-3.04
59 Hg 0.9414 0.0694 0.3270  1 Ag 2.76, 2 Cl 2.90-3.04
60 Hg 0.9414 0.3720 0.6144  1 Ag 2.76, 2 Cl 2.90-3.04
61 Cl 0.0000 0.0000 0.0000  6 Hg 3.04
62 Cl 0.0000 0.0000 0.5000  6 Hg 3.04
63 Cl 0.0000 0.5000 0.0000  6 Hg 3.04
64 Cl 0.0000 0.5000 0.5000  6 Hg 3.04
65 Cl 0.1250 0.7500 0.8750  4 Hg 2.90
66 Cl 0.1250 0.8750 0.2500  4 Hg 2.90
67 Cl 0.2500 0.1250 0.8750  4 Hg 2.90
68 Cl 0.2500 0.6250 0.3750  4 Hg 2.90
69 Cl 0.3750 0.2500 0.6250  4 Hg 2.90
70 Cl 0.3750 0.6250 0.7500  4 Hg 2.90
71 Cl 0.5000 0.0000 0.0000  6 Hg 3.04
72 Cl 0.5000 0.0000 0.5000  6 Hg 3.04
73 Cl 0.5000 0.5000 0.0000  6 Hg 3.04
74 Cl 0.5000 0.5000 0.5000  6 Hg 3.04
75 Cl 0.6250 0.3750 0.2500  4 Hg 2.90
76 Cl 0.6250 0.7500 0.3750  4 Hg 2.90
77 Cl 0.7500 0.3750 0.6250  4 Hg 2.90
78 Cl 0.7500 0.8750 0.1250  4 Hg 2.90
79 Cl 0.8750 0.1250 0.7500  4 Hg 2.90
80 Cl 0.8750 0.2500 0.1250  4 Hg 2.90

***

A relaxed structure of Mg2AgSb2, computed with PBE.

Values from the calculation:
Space group: I4/mmm, No. 139
Distance to the lowest polymorph of the same formula in meV/atom: 99
Calculated volume in Å³ per atom: 27.74

abc: 6.6208 6.6208 6.6208
angles: 135.88 135.88 64.16
With the nearest neighbours (Å) after each atom.
Element x y z (fractional)
1 Mg 0.2500 0.7500 0.5000  4 Sb 2.86
2 Mg 0.7500 0.2500 0.5000  4 Sb 2.86
3 Ag 0.0000 0.0000 0.0000  8 Mg 3.75, 8 Sb 3.78
4 Sb 0.3759 0.3759 0.0000  1 Sb 2.78, 4 Mg 2.86
5 Sb 0.6241 0.6241 0.0000  1 Sb 2.78, 4 Mg 2.86

***

A relaxed structure of Ba5Zr, computed with PBE.

Values from the calculation:
Space group: F-43m, No. 216
Distance to the lowest polymorph of the same formula in meV/atom: 301
Formation energy from the elements in eV per atom: 0.63
Calculated volume in Å³ per atom: 53.38

abc: 7.6797 7.6797 7.6797
angles: 60.00 60.00 60.00
With the nearest neighbours (Å) after each atom.
Element x y z (fractional)
1 Ba 0.0000 0.0000 0.0000  12 Ba 4.51, 4 Zr 4.70
2 Ba 0.1308 0.6231 0.6231  6 Ba 3.78-3.90
3 Ba 0.6231 0.1308 0.6231  6 Ba 3.78-3.90
4 Ba 0.6231 0.6231 0.1308  6 Ba 3.78-3.90
5 Ba 0.6231 0.6231 0.6231  6 Ba 3.78-3.90
6 Zr 0.2500 0.2500 0.2500  16 Ba 4.50-4.70

***

A relaxed structure of Sc2MoBr, computed with PBE.

Values from the calculation:
Space group: P4mm, No. 99
Distance to the lowest polymorph of the same formula in meV/atom: 458
Calculated volume in Å³ per atom: 21.97

abc: 3.7270 3.7270 6.3255
angles: 90.00 90.00 90.00
With the nearest neighbours (Å) after each atom.
Element x y z (fractional)
1 Sc 0.0000 0.0000 0.0000  4 Mo 2.74, 1 Br 2.94
2 Sc 0.5000 0.5000 0.3017  1 Mo 2.65, 4 Br 2.83
3 Mo 0.5000 0.5000 0.8826  5 Sc 2.65-2.74
4 Br 0.0000 0.0000 0.4653  5 Sc 2.83-2.94